Below is a relaxed CaScCr2 crystal, with properties calculated at the GGA-PBE level.

Computed properties:
volume = 21.50 Å³/atom
spin magnetization = 7.41 Bohr magnetons per cell
calculated formation energy = 0.619 eV/atom

Lattice parameters (Å, degrees): 5.0288 5.0288 3.4008 90.00 90.00 90.00
Sites, in units of the cell vectors:
1 Ca 0.0000 0.0000 0.0000
2 Sc 0.5000 0.5000 0.0000
3 Cr 0.0000 0.5000 0.5000
4 Cr 0.5000 0.0000 0.5000